Compound: Li2YHg
Source: the Alexandria database
Functional: PBEsol
Structure: optimized geometry

Cell: 5.078 5.078 5.078 Å, 129.50 122.23 80.25°
Element x y z (fractional)
Li (0.000, 0.000, 0.000)
Li (0.774, 0.274, 0.500)
Y (0.505, 0.505, 0.000)
Hg (0.238, 0.738, 0.500)

Summary:
- Polymorph energy (0 for the lowest one): 0.000 eV per atom
- Symmetry: No. 44
- Formation enthalpy at 0 K: -260 meV per atom
- Calculated volume: 82.5 Å³ per cell